Entry 1:
Below is an optimized crystal structure of Ta2SbPb, with properties calculated at the PBE level.

The value obtained for the total magnetization is 0.13 μB/atom. For the uncorrected formation energy, the calculation gives 1.538 eV per atom.

The space group is I-42d (No. 122) and the conventional cell measures 6.371, 6.371 and 12.600 Å, with angles of 90.00, 90.00 and 90.00 degrees. The asymmetric unit holds Ta at (0.243, 0.250, 0.125), Sb at (0.000, 0.000, 0.000) and Pb at (0.000, 0.000, 0.500).

Entry 2:
Below is an optimized crystal structure of Ta3SbPb, with properties calculated at the PBE level.

The value obtained for the total magnetization is 0.00 μB/atom. For the uncorrected formation energy, the calculation gives 2.249 eV per atom.

The space group is Pm-3m (No. 221) and the conventional cell measures 5.131, 5.131 and 5.131 Å, with angles of 90.00, 90.00 and 90.00 degrees. The asymmetric unit holds Ta at (0.000, 0.000, 0.500), Sb at (0.500, 0.500, 0.500) and Pb at (0.000, 0.000, 0.000).

Entry 3:
Below is an optimized crystal structure of TaSb2Pb, with properties calculated at the PBE level.

The value obtained for the total magnetization is 0.00 μB/atom. For the uncorrected formation energy, the calculation gives 0.320 eV per atom.

The space group is R3m (No. 160, hexagonal axes) and the conventional cell measures 3.3066, 3.3066 and 31.4009 Å, with angles of 90.00, 90.00 and 120.00 degrees. The asymmetric unit holds Ta at (0.0000, 0.0000, 0.0000), Sb at (0.0000, 0.0000, 0.4990), Sb at (0.0000, 0.0000, 0.7369) and Pb at (0.0000, 0.0000, 0.2554).

Entry 4:
Below is an optimized crystal structure of TaSbPb, with properties calculated at the PBE level.

The value obtained for the total magnetization is 0.00 μB/atom. For the uncorrected formation energy, the calculation gives 0.672 eV per atom.

The space group is F-43m (No. 216) and the conventional cell measures 6.879, 6.879 and 6.879 Å, with angles of 90.00, 90.00 and 90.00 degrees. The asymmetric unit holds Ta at (0.000, 0.000, 0.000), Sb at (0.250, 0.250, 0.250) and Pb at (0.250, 0.250, 0.750).

Entry 5:
Below is an optimized crystal structure of TaSb2Pb, with properties calculated at the PBE level.

The value obtained for the total magnetization is 0.00 μB/atom. For the uncorrected formation energy, the calculation gives 0.336 eV per atom.

The space group is C2/m (No. 12) and the conventional cell measures 9.920, 3.479 and 6.033 Å, with angles of 90.00, 101.49 and 90.00 degrees. The asymmetric unit holds Ta at (0.000, 0.000, 0.000), Sb at (0.224, 0.500, 0.195) and Pb at (0.000, 0.500, 0.500).

Entry 6:
Below is an optimized crystal structure of Ta2SbPb, with properties calculated at the PBE level.

The value obtained for the total magnetization is 0.00 μB/atom. For the uncorrected formation energy, the calculation gives 0.552 eV per atom.

The space group is Immm (No. 71) and the conventional cell measures 3.617, 5.139 and 9.125 Å, with angles of 90.00, 90.00 and 90.00 degrees. The asymmetric unit holds Ta at (0.000, 0.000, 0.246), Sb at (0.000, 0.500, 0.500) and Pb at (0.000, 0.500, 0.000).